# 1
The following is a DFT calculation (GGA-PBE) of Hf3Cd2In after structural relaxation. Values from VASP.

Calculated values
- V (Å³ per cell) = 263.0
- energy (eV/atom) = -5.680

Geometry as Quantum ESPRESSO input:
```
&SYSTEM
  ibrav = 0, nat = 12, ntyp = 3
/
ATOMIC_SPECIES
Hf 178.49 Hf.upf
Cd 112.41 Cd.upf
In 114.82 In.upf
ATOMIC_POSITIONS crystal
Hf 0.0000 0.8349 0.6698
Hf 0.5000 0.8349 0.6698
Hf 0.0000 0.5000 0.0000
Hf 0.5000 0.5000 0.0000
Hf 0.5000 0.1651 0.3302
Hf 0.0000 0.1651 0.3302
Cd 0.2500 0.8283 0.3340
Cd 0.7500 0.5057 0.3340
Cd 0.7500 0.1717 0.6660
Cd 0.2500 0.4943 0.6660
In 0.7500 0.8393 0.0000
In 0.2500 0.1607 0.0000
CELL_PARAMETERS angstrom
10.6010 0.0000 0.0000
0.0000 4.5929 -2.6491
0.0000 0.0409 5.3770
```

---

# 2
The following is a DFT calculation (GGA-PBE) of Pa3Sn2Bi3 after structural relaxation. Values from VASP.

Calculated values
- V (Å³ per cell) = 454.6
- energy (eV/atom) = -6.247

Geometry as Quantum ESPRESSO input:
```
&SYSTEM
  ibrav = 0, nat = 16, ntyp = 3
/
ATOMIC_SPECIES
Pa 231.04 Pa.upf
Sn 118.71 Sn.upf
Bi 208.98 Bi.upf
ATOMIC_POSITIONS crystal
Pa 0.7500 0.6076 0.0000
Pa 0.7500 0.3924 0.3924
Pa 0.7500 0.0000 0.6076
Pa 0.2500 0.3924 0.0000
Pa 0.2500 0.6076 0.6076
Pa 0.2500 0.0000 0.3924
Sn 0.0000 0.3333 0.6667
Sn 0.5000 0.6667 0.3333
Sn 0.0000 0.6667 0.3333
Sn 0.5000 0.3333 0.6667
Bi 0.7500 0.2460 0.0000
Bi 0.7500 0.7540 0.7540
Bi 0.7500 0.0000 0.2460
Bi 0.2500 0.7540 0.0000
Bi 0.2500 0.2460 0.2460
Bi 0.2500 0.0000 0.7540
CELL_PARAMETERS angstrom
6.1206 0.0000 0.0000
0.0000 9.2608 0.0000
0.0000 -4.6304 8.0201
```

---

# 3
The following is a DFT calculation (GGA-PBE) of Sc3Cd2 after structural relaxation. Values from VASP.

Calculated values
- V (Å³ per cell) = 124.0
- energy (eV/atom) = -4.174

Geometry as Quantum ESPRESSO input:
```
&SYSTEM
  ibrav = 0, nat = 5, ntyp = 2
/
ATOMIC_SPECIES
Sc 44.96 Sc.upf
Cd 112.41 Cd.upf
ATOMIC_POSITIONS crystal
Sc 0.0000 0.0000 0.0000
Sc 0.6667 0.3333 0.6472
Sc 0.3333 0.6667 0.3528
Cd 0.6667 0.3333 0.1526
Cd 0.3333 0.6667 0.8474
CELL_PARAMETERS angstrom
2.4353 -4.2181 0.0000
2.4353 4.2181 0.0000
0.0000 0.0000 6.0352
```

---

Asked for energy relative to the elements across the records above, the calculation gives 0.058; -0.229; -0.009 eV per atom in order.